Crystalline Ac3Pr at its relaxed geometry. Source: Alexandria, functional PBE-GGA.

```
Ac3Pr
1.0
7.9197 0.0000 0.0000
-3.9599 6.8587 0.0000
0.0000 0.0000 6.3579
Ac Pr
6 2
Cartesian
0.0000 2.3122 1.5895
-1.9575 5.7026 1.5895
2.0024 1.1561 4.7684
1.9575 5.7026 1.5895
5.9173 1.1561 4.7684
3.9599 4.5465 4.7684
0.0000 4.5725 4.7684
3.9599 2.2862 1.5895
```

## Properties
Its symmetry is P6_3/mmc. For the energy of formation, the calculation gives 0.03 eV per atom. Its crystal system is hexagonal.